Entry 1:
A geometry-optimized Ag4Hg2Br9 structure, computed with GGA-PBE.

## Properties
Fermi-level density of states   8.0 states/eV/f.u.
Raw total energy   -64.18 eV per cell

Cell lengths 7.1524, 7.3003, 20.0846 Å; angles 92.80, 90.97, 116.38 degrees
Closest atoms and distances in Å follow each position.
Fractional positions:
Ag (0.1137, 0.4968, 0.2666)  4 Br 2.63-2.91
Ag (0.1666, 0.1623, 0.8392)  4 Br 2.64-2.82
Ag (0.1684, 0.8186, 0.4971)  4 Br 2.71-2.93
Ag (0.1985, 0.5100, 0.0575)  4 Br 2.63-2.82
Ag (0.8015, 0.4900, 0.9425)  4 Br 2.63-2.82
Ag (0.8316, 0.1814, 0.5029)  4 Br 2.71-2.93
Ag (0.8334, 0.8377, 0.1608)  4 Br 2.64-2.82
Ag (0.8863, 0.5032, 0.7334)  4 Br 2.63-2.91
Hg (0.4658, 0.5031, 0.6084)  4 Br 2.63-2.82
Hg (0.4800, 0.1559, 0.1670)  3 Br 2.64-2.95
Hg (0.5200, 0.8441, 0.8330)  3 Br 2.64-2.95
Hg (0.5342, 0.4969, 0.3916)  4 Br 2.63-2.82
Br (0.1304, 0.8568, 0.2450)  2 Ag 2.63-2.64
Br (0.1388, 0.1507, 0.5768)  1 Hg 2.63, 2 Ag 2.73-2.93
Br (0.1563, 0.4942, 0.4109)  1 Hg 2.73, 2 Ag 2.83-2.91
Br (0.1699, 0.4880, 0.9170)  3 Ag 2.70-2.82
Br (0.1836, 0.1493, 0.0857)  1 Hg 2.64, 1 Ag 2.68
Br (0.2183, 0.8638, 0.7574)  2 Ag 2.66-2.82, 1 Hg 2.68
Br (0.4560, 0.1483, 0.9192)  2 Ag 2.63-2.64
Br (0.4867, 0.8599, 0.5815)  1 Hg 2.63, 1 Ag 2.71
Br (0.4948, 0.5064, 0.2518)  1 Ag 2.72, 2 Hg 2.82-2.96
Br (0.5052, 0.4936, 0.7482)  1 Ag 2.72, 2 Hg 2.82-2.96
Br (0.5133, 0.1401, 0.4185)  1 Hg 2.63, 1 Ag 2.71
Br (0.5440, 0.8517, 0.0808)  2 Ag 2.63-2.64
Br (0.7817, 0.1362, 0.2426)  2 Ag 2.66-2.82, 1 Hg 2.68
Br (0.8164, 0.8507, 0.9143)  1 Hg 2.64, 1 Ag 2.68
Br (0.8301, 0.5120, 0.0830)  3 Ag 2.70-2.82
Br (0.8437, 0.5058, 0.5891)  1 Hg 2.73, 2 Ag 2.83-2.91
Br (0.8612, 0.8493, 0.4232)  1 Hg 2.63, 2 Ag 2.73-2.93
Br (0.8696, 0.1432, 0.7550)  2 Ag 2.63-2.64

---

Entry 2:
A geometry-optimized YSc2In structure, computed with GGA-PBE.

## Properties
Fermi-level density of states   5.0 states/eV/f.u.
ΔE_f   -168 meV per atom

Cell lengths 3.3898, 4.8703, 6.4167 Å; angles 90.00, 102.82, 90.00 degrees
Closest atoms and distances in Å follow each position.
Fractional positions:
Y (0.0000, 0.0000, 0.0000)  2 In 3.21, 8 Sc 3.34-3.44, 2 Y 3.39
Sc (0.4183, 0.5000, 0.7382)  2 In 3.05, 4 Sc 3.23-3.39, 2 Y 3.34
Sc (0.5817, 0.5000, 0.2618)  2 In 3.05, 4 Sc 3.23-3.39, 2 Y 3.34
In (0.0000, 0.0000, 0.5000)  4 Sc 3.05, 2 Y 3.21, 2 In 3.39

---

Entry 3:
A geometry-optimized LuTaTcRh structure, computed with GGA-PBE.

## Properties
Fermi-level density of states   1.7 states/eV/f.u.
ΔE_f   -498 meV per atom

Cell lengths 6.5109, 6.5109, 6.5109 Å; angles 90.00, 90.00, 90.00 degrees
Closest atoms and distances in Å follow each position.
Fractional positions:
Lu (0.0000, 0.0000, 0.0000)  4 Tc 2.82, 4 Rh 2.82
Lu (0.0000, 0.5000, 0.5000)  4 Tc 2.82, 4 Rh 2.82
Lu (0.5000, 0.0000, 0.5000)  4 Tc 2.82, 4 Rh 2.82
Lu (0.5000, 0.5000, 0.0000)  4 Tc 2.82, 4 Rh 2.82
Ta (0.0000, 0.0000, 0.5000)  4 Tc 2.82, 4 Rh 2.82
Ta (0.0000, 0.5000, 0.0000)  4 Tc 2.82, 4 Rh 2.82
Ta (0.5000, 0.0000, 0.0000)  4 Tc 2.82, 4 Rh 2.82
Ta (0.5000, 0.5000, 0.5000)  4 Tc 2.82, 4 Rh 2.82
Tc (0.2500, 0.2500, 0.7500)  4 Ta 2.82, 4 Lu 2.82
Tc (0.2500, 0.7500, 0.2500)  4 Lu 2.82, 4 Ta 2.82
Tc (0.7500, 0.2500, 0.2500)  4 Lu 2.82, 4 Ta 2.82
Tc (0.7500, 0.7500, 0.7500)  4 Lu 2.82, 4 Ta 2.82
Rh (0.2500, 0.2500, 0.2500)  4 Ta 2.82, 4 Lu 2.82
Rh (0.2500, 0.7500, 0.7500)  4 Ta 2.82, 4 Lu 2.82
Rh (0.7500, 0.2500, 0.7500)  4 Ta 2.82, 4 Lu 2.82
Rh (0.7500, 0.7500, 0.2500)  4 Ta 2.82, 4 Lu 2.82

---

Entry 4:
A geometry-optimized BePtW structure, computed with GGA-PBE.

## Properties
Fermi-level density of states   0.4 states/eV/f.u.
ΔE_f   -139 meV per atom
Energy relative to the lowest polymorph listed for this composition   0.201 eV/atom

Cell lengths 3.6244, 3.6244, 6.3542 Å; angles 90.00, 90.00, 90.00 degrees
Closest atoms and distances in Å follow each position.
Fractional positions:
Be (0.2500, 0.2500, 0.2003)  1 Pt 2.25
Be (0.7500, 0.7500, 0.7997)  1 Pt 2.25
Pt (0.2500, 0.2500, 0.8470)  1 Be 2.25
Pt (0.7500, 0.7500, 0.1530)  1 Be 2.25
W (0.2500, 0.7500, 0.5000)  4 W 2.56, 4 Be 2.63, 4 Pt 2.85
W (0.7500, 0.2500, 0.5000)  4 W 2.56, 4 Be 2.63, 4 Pt 2.85

---

Entry 5:
A geometry-optimized Hf3NbFe2 structure, computed with GGA-PBE.

## Properties
Fermi-level density of states   4.6 states/eV/f.u.
ΔE_f   -176 meV per atom

Cell lengths 3.1508, 3.1508, 10.2783 Å; angles 90.00, 90.00, 90.00 degrees
Closest atoms and distances in Å follow each position.
Fractional positions:
Hf (0.0000, 0.0000, 0.0000)  8 Fe 2.73
Hf (0.0000, 0.0000, 0.3042)  4 Fe 2.72, 4 Nb 3.00
Hf (0.0000, 0.0000, 0.6958)  4 Fe 2.72, 4 Nb 3.00
Nb (0.5000, 0.5000, 0.5000)  8 Hf 3.00, 4 Nb 3.15
Fe (0.5000, 0.5000, 0.1529)  8 Hf 2.72-2.73
Fe (0.5000, 0.5000, 0.8471)  8 Hf 2.72-2.73

---

Entry 6:
A geometry-optimized Re2Se2S structure, computed with GGA-PBE.

## Properties
Fermi-level density of states   5.9 states/eV/f.u.
Energy relative to the lowest polymorph listed for this composition   0.646 eV/atom

Cell lengths 7.2704, 7.2704, 3.1092 Å; angles 90.00, 90.00, 90.00 degrees
Closest atoms and distances in Å follow each position.
Fractional positions:
Re (0.1438, 0.3562, 0.0000)  6 Se 2.62-2.65, 2 S 2.79
Re (0.3562, 0.8562, 0.0000)  6 Se 2.62-2.65, 2 S 2.79
Re (0.6438, 0.1438, 0.0000)  6 Se 2.62-2.65, 2 S 2.79
Re (0.8562, 0.6438, 0.0000)  6 Se 2.62-2.65, 2 S 2.79
Se (0.1506, 0.6506, 0.5000)  6 Re 2.62-2.65
Se (0.3494, 0.1506, 0.5000)  6 Re 2.62-2.65
Se (0.6506, 0.8494, 0.5000)  6 Re 2.62-2.65
Se (0.8494, 0.3494, 0.5000)  6 Re 2.62-2.65
S (0.0000, 0.0000, 0.0000)  4 Re 2.79, 2 S 3.11
S (0.5000, 0.5000, 0.0000)  4 Re 2.79, 2 S 3.11

---

Entry 7:
A geometry-optimized AuI2F structure, computed with GGA-PBE.

## Properties
Fermi-level density of states   4.0 states/eV/f.u.
Energy relative to the lowest polymorph listed for this composition   0.384 eV/atom

Cell lengths 7.1044, 7.1044, 7.1044 Å; angles 90.00, 90.00, 90.00 degrees
Closest atoms and distances in Å follow each position.
Fractional positions:
Au (0.0000, 0.0000, 0.0000)  8 I 3.08
Au (0.0000, 0.5000, 0.5000)  8 I 3.08
Au (0.5000, 0.0000, 0.5000)  8 I 3.08
Au (0.5000, 0.5000, 0.0000)  8 I 3.08
I (0.2500, 0.2500, 0.2500)  4 F 3.08, 4 Au 3.08
I (0.2500, 0.2500, 0.7500)  4 F 3.08, 4 Au 3.08
I (0.2500, 0.7500, 0.2500)  4 F 3.08, 4 Au 3.08
I (0.2500, 0.7500, 0.7500)  4 F 3.08, 4 Au 3.08
I (0.7500, 0.2500, 0.2500)  4 F 3.08, 4 Au 3.08
I (0.7500, 0.2500, 0.7500)  4 F 3.08, 4 Au 3.08
I (0.7500, 0.7500, 0.2500)  4 F 3.08, 4 Au 3.08
I (0.7500, 0.7500, 0.7500)  4 Au 3.08, 4 F 3.08
F (0.0000, 0.0000, 0.5000)  8 I 3.08
F (0.0000, 0.5000, 0.0000)  8 I 3.08
F (0.5000, 0.0000, 0.0000)  8 I 3.08
F (0.5000, 0.5000, 0.5000)  8 I 3.08

---

Entry 8:
A geometry-optimized Tl2AgSn2 structure, computed with GGA-PBE.

## Properties
Fermi-level density of states   2.5 states/eV/f.u.
ΔE_f   214 meV per atom
Energy relative to the lowest polymorph listed for this composition   0.190 eV/atom

Cell lengths 4.1520, 4.1520, 17.5689 Å; angles 90.00, 90.00, 90.00 degrees
Closest atoms and distances in Å follow each position.
Fractional positions:
Tl (0.0000, 0.0000, 0.0912)  1 Tl 3.21, 4 Ag 3.34, 4 Sn 3.48
Tl (0.0000, 0.0000, 0.9088)  1 Tl 3.21, 4 Ag 3.34, 4 Sn 3.48
Tl (0.5000, 0.5000, 0.4088)  1 Tl 3.21, 4 Ag 3.34, 4 Sn 3.48
Tl (0.5000, 0.5000, 0.5912)  1 Tl 3.21, 4 Ag 3.34, 4 Sn 3.48
Ag (0.0000, 0.0000, 0.5000)  8 Tl 3.34
Ag (0.5000, 0.5000, 0.0000)  8 Tl 3.34
Sn (0.0000, 0.5000, 0.2500)  4 Sn 2.94
Sn (0.0000, 0.5000, 0.7500)  4 Sn 2.94
Sn (0.5000, 0.0000, 0.2500)  4 Sn 2.94
Sn (0.5000, 0.0000, 0.7500)  4 Sn 2.94

---

Mass density per entry: 5.50, 4.72, 13.40, 15.43, 12.04, 11.36, 8.70, 8.27 g/cm³